Record 1
First-principles (SCAN) data for a PBEsol-optimized structure of Mg2CuNi, as listed in Alexandria.

a = 3.015 Å, b = 4.300 Å, c = 8.910 Å
α = 90.00°, β = 90.00°, γ = 90.00°
Space group Imm2 (No. 44)
Unique sites:
1 Mg 0.000 0.000 0.000 (multiplicity 2)
2 Mg 0.000 0.500 0.216 (multiplicity 2)
3 Cu 0.000 0.000 0.458 (multiplicity 2)
4 Ni 0.000 0.500 0.746 (multiplicity 2)

Calculated values
Formation enthalpy at 0 K ... -0.10 eV per atom

Record 2
First-principles (SCAN) data for a PBEsol-optimized structure of MgCuNi2, as listed in Alexandria.

a = 3.676 Å, b = 3.676 Å, c = 7.006 Å
α = 90.00°, β = 90.00°, γ = 90.00°
Space group I4/mmm (No. 139)
Unique sites:
1 Mg 0.000 0.000 0.000 (multiplicity 2)
2 Cu 0.000 0.000 0.500 (multiplicity 2)
3 Ni 0.000 0.500 0.250 (multiplicity 4)

Calculated values
Formation enthalpy at 0 K ... -0.02 eV per atom

Record 3
First-principles (SCAN) data for a PBEsol-optimized structure of MgCu2Ni, as listed in Alexandria.

a = 5.806 Å, b = 5.806 Å, c = 5.806 Å
α = 90.00°, β = 90.00°, γ = 90.00°
Space group F-43m (No. 216)
Unique sites:
1 Mg 0.000 0.000 0.000 (multiplicity 4)
2 Cu 0.000 0.000 0.500 (multiplicity 4)
3 Cu 0.250 0.250 0.750 (multiplicity 4)
4 Ni 0.250 0.250 0.250 (multiplicity 4)

Calculated values
Formation enthalpy at 0 K ... -0.02 eV per atom

Record 4
First-principles (SCAN) data for a PBEsol-optimized structure of MgCu2Ni, as listed in Alexandria.

a = 3.658 Å, b = 3.658 Å, c = 7.313 Å
α = 90.00°, β = 90.00°, γ = 90.00°
Space group I4/mmm (No. 139)
Unique sites:
1 Mg 0.000 0.000 0.000 (multiplicity 2)
2 Cu 0.000 0.500 0.250 (multiplicity 4)
3 Ni 0.000 0.000 0.500 (multiplicity 2)

Calculated values
Formation enthalpy at 0 K ... -0.03 eV per atom

no.,spin magnetization (μB/cell)
1,0.00
2,0.00
3,0.00
4,0.00